DFT (PBE with a Hubbard U) results for MnGeO after structural relaxation.

Calculated values
energy above the most stable polymorph in this dataset	0	meV/atom
crystal system	orthorhombic
calculated total energy	-6.5108	eV/atom
theoretical density	5.224	g/cm3

Lattice parameters (Å, degrees): 6.7736 6.7736 6.7736 150.25 143.54 47.74
Last column: nearest neighbours and their distance in Å.
Element x y z (fractional)
Mn: 0.0000 0.0000 0.0000  4 O 2.13-2.26
Mn: 0.3857 0.3857 0.0000  4 O 2.11-2.12
Ge: 0.1884 0.6884 0.5000  4 Ge 2.76, 4 Mn 2.91-3.00
Ge: 0.7176 0.2176 0.5000  1 O 2.06
O: 0.4827 0.9827 0.5000  4 Mn 2.11-2.13
O: 0.8837 0.3837 0.5000  1 Ge 2.06, 4 Mn 2.12-2.26